Pa2PO PBE-GGA optimized geometry; calculated volume = 17.284 A^3/atom; final energy = -8.539 eV/atom; excess energy over the best structure of this formula in the dataset = 655 meV/atom
1.0
-2.493 0.066 2.099
-1.956 -1.256 -2.285
1.521 -6.003 1.997
Pa P O
2 1 1
Cartesian
0.363 -1.433 0.477
1.158 -4.571 1.521
-1.464 -3.596 0.906
-2.225 -0.595 -0.093